NbCd2Tc | GGA-PBE | relaxed

Properties
The formation energy from the elements comes out at 0.356 eV/atom. The calculation puts the magnetization at 0.02 μB/cell. The calculation puts the total energy at -5.205 eV/atom. Its space group is F-43m, No. 216.

a b c (Å): 4.669 4.669 4.669
angles (deg): 60.00 60.00 60.00
Element x y z (fractional)
Nb  0.000  0.000  0.000
Cd  0.500  0.500  0.500
Cd  0.750  0.750  0.750
Tc  0.250  0.250  0.250